(1)
Entry from Alexandria via LeMat-Bulk: ZrAsI after structural relaxation (PBE-GGA).

abc: 11.0324 3.6383 9.4309
angles: 90.00 90.10 90.00
Fractional coordinates of all 12 atoms:
I  0.3292  0.0000  0.3538
I  0.3292  0.5000  0.8538
I  0.6708  0.5000  0.1462
I  0.6708  0.0000  0.6462
Zr  0.8678  0.0000  0.0730
Zr  0.1322  0.0000  0.9270
Zr  0.1322  0.5000  0.4270
Zr  0.8678  0.5000  0.5730
As  0.0583  0.0000  0.6420
As  0.9417  0.0000  0.3580
As  0.0583  0.5000  0.1420
As  0.9417  0.5000  0.8580

Calculated values
Excess energy over the best structure of this formula in the dataset (eV per formula unit): 0.07
Formation energy (no corrections) (meV per atom): -855
Space-group type: No. 12
Crystal system: monoclinic

(2)
Entry from Alexandria via LeMat-Bulk: CrSnGe3 after structural relaxation (PBE-GGA).

abc: 4.7327 4.7327 4.7327
angles: 90.00 90.00 90.00
Fractional coordinates of all 5 atoms:
Ge  0.0000  0.0000  0.5000
Ge  0.0000  0.5000  0.0000
Ge  0.5000  0.0000  0.0000
Sn  0.5000  0.5000  0.5000
Cr  0.0000  0.0000  0.0000

Calculated values
Excess energy over the best structure of this formula in the dataset (eV per formula unit): 0.00
Space-group type: No. 221
Formation energy from the elements (eV per atom): 0.34
Crystal system: cubic

(3)
Entry from Alexandria via LeMat-Bulk: PmZn3Ga3 after structural relaxation (PBE-GGA).

abc: 6.8512 6.8512 7.5828
angles: 63.14 63.14 60.00
Fractional coordinates of all 14 atoms:
Zn  0.6942  0.0746  0.5371
Zn  0.3058  0.9254  0.4629
Zn  0.3059  0.3058  0.4629
Zn  0.9254  0.3059  0.4629
Zn  0.6941  0.6942  0.5371
Zn  0.0746  0.6941  0.5371
Pm  0.6125  0.6125  0.1625
Pm  0.3875  0.3875  0.8375
Ga  0.6631  0.0810  0.1747
Ga  0.0812  0.6631  0.1747
Ga  0.3369  0.9190  0.8253
Ga  0.9190  0.9188  0.8253
Ga  0.9188  0.3369  0.8253
Ga  0.0810  0.0812  0.1747

Calculated values
Excess energy over the best structure of this formula in the dataset (eV per formula unit): 0.00
Space-group type: No. 166
Formation energy from the elements (eV per atom): -0.25
Crystal system: trigonal

(4)
Entry from Alexandria via LeMat-Bulk: Nd5Tl2Ir after structural relaxation (PBE-GGA).

abc: 7.2308 7.2308 6.8407
angles: 121.89 121.89 90.02
Fractional coordinates of all 8 atoms:
Tl  0.2323  0.7323  0.4647
Tl  0.7323  0.2323  0.4647
Nd  0.2341  0.2341  0.9688
Nd  0.7483  0.7483  0.4966
Nd  0.2344  0.7349  0.9693
Nd  0.7349  0.2344  0.9693
Nd  0.7346  0.7346  0.9688
Ir  0.1260  0.1260  0.2520

Calculated values
Excess energy over the best structure of this formula in the dataset (eV per formula unit): 1.59
Space-group type: No. 107
Formation energy from the elements (eV per atom): -0.24
Crystal system: tetragonal

(5)
Entry from Alexandria via LeMat-Bulk: Hf3TcPd after structural relaxation (PBE-GGA).

abc: 4.9391 4.9391 4.9391
angles: 90.00 90.00 90.00
Fractional coordinates of all 5 atoms:
Hf  0.0000  0.5000  0.0000
Hf  0.5000  0.0000  0.0000
Hf  0.0000  0.0000  0.5000
Pd  0.5000  0.5000  0.5000
Tc  0.0000  0.0000  0.0000

Calculated values
Excess energy over the best structure of this formula in the dataset (eV per formula unit): 0.00
Space-group type: No. 221
Formation energy from the elements (eV per atom): 0.49
Crystal system: cubic

(6)
Entry from Alexandria via LeMat-Bulk: Ba2HfAlAs after structural relaxation (PBE-GGA).

abc: 6.2880 5.0529 6.2880
angles: 90.00 90.00 90.00
Fractional coordinates of all 5 atoms:
Al  0.5000  0.5000  0.5000
As  0.0000  0.0000  0.0000
Hf  0.0000  0.5000  0.0000
Ba  0.5000  0.0000  0.0000
Ba  0.0000  0.0000  0.5000

Calculated values
Excess energy over the best structure of this formula in the dataset (eV per formula unit): 0.00
Space-group type: No. 123
Formation energy from the elements (eV per atom): 0.05
Crystal system: tetragonal

(7)
Entry from Alexandria via LeMat-Bulk: ZnPRhSe after structural relaxation (PBE-GGA).

abc: 3.7478 3.7438 6.5891
angles: 106.54 89.97 120.05
Fractional coordinates of all 4 atoms:
Se  0.3136  0.0026  0.6277
Rh  0.1597  0.6943  0.1648
Zn  0.9191  0.2131  0.4446
P  0.4514  0.2776  0.0394

Calculated values
Excess energy over the best structure of this formula in the dataset (eV per formula unit): 0.17
Formation energy (no corrections) (meV per atom): -340
Space-group type: No. 8
Crystal system: monoclinic

(8)
Entry from Alexandria via LeMat-Bulk: LuIn after structural relaxation (PBE-GGA).

abc: 3.3958 3.3958 4.3662
angles: 90.00 90.00 90.00
Fractional coordinates of all 2 atoms:
In  0.0000  0.0000  0.0000
Lu  0.5000  0.5000  0.5000

Calculated values
Space-group type: No. 123
Formation energy from the elements (eV per atom): -0.39
Crystal system: tetragonal

(9)
Entry from Alexandria via LeMat-Bulk: CuTc2Mo after structural relaxation (PBE-GGA).

abc: 4.7395 4.7395 4.7395
angles: 132.24 132.28 69.82
Fractional coordinates of all 4 atoms:
Tc  0.0002  0.0002  0.0000
Tc  0.7499  0.2499  0.5000
Cu  0.4999  0.4999  0.0000
Mo  0.2500  0.7500  0.5000

Calculated values
Excess energy over the best structure of this formula in the dataset (eV per formula unit): 0.14
Space-group type: No. 119
Formation energy from the elements (eV per atom): 0.18
Crystal system: tetragonal

(10)
Entry from Alexandria via LeMat-Bulk: Rb2YAgTe after structural relaxation (PBE-GGA).

abc: 7.0061 5.7874 7.0061
angles: 90.00 90.00 90.00
Fractional coordinates of all 5 atoms:
Te  0.0000  0.0000  0.0000
Rb  0.0000  0.0000  0.5000
Rb  0.5000  0.0000  0.0000
Ag  0.5000  0.5000  0.5000
Y  0.0000  0.5000  0.0000

Calculated values
Formation energy (no corrections) (meV per atom): -41
Space-group type: No. 123
Crystal system: tetragonal

(11)
Entry from Alexandria via LeMat-Bulk: TiTc2AuC after structural relaxation (PBE-GGA).

abc: 4.0801 4.0801 4.1800
angles: 90.00 90.00 90.00
Fractional coordinates of all 5 atoms:
Au  0.5000  0.5000  0.5000
Tc  0.5000  0.0000  0.0000
Tc  0.0000  0.5000  0.0000
Ti  0.0000  0.0000  0.5000
C  0.0000  0.0000  0.0000

Calculated values
Space-group type: No. 123
Formation energy from the elements (eV per atom): -0.14
Crystal system: tetragonal

(12)
Entry from Alexandria via LeMat-Bulk: Sm3AlAg2 after structural relaxation (PBE-GGA).

abc: 3.6765 3.6765 11.2572
angles: 90.00 90.00 90.00
Fractional coordinates of all 6 atoms:
Sm  0.0000  0.0000  0.6635
Sm  0.0000  0.0000  0.3365
Sm  0.0000  0.0000  0.0000
Ag  0.5000  0.5000  0.1700
Ag  0.5000  0.5000  0.8300
Al  0.5000  0.5000  0.5000

Calculated values
Space-group type: No. 123
Formation energy from the elements (eV per atom): -0.32
Crystal system: tetragonal

(13)
Entry from Alexandria via LeMat-Bulk: Rb2HfI after structural relaxation (PBE-GGA).

abc: 12.9602 12.9602 9.5924
angles: 47.50 47.50 90.00
Fractional coordinates of all 8 atoms:
Hf  0.7500  0.2500  0.5000
Hf  0.0000  0.0000  0.0000
Rb  0.2610  0.6250  0.2500
Rb  0.4890  0.1250  0.2500
Rb  0.3750  0.5110  0.7500
Rb  0.8750  0.7390  0.7500
I  0.2500  0.7500  0.5000
I  0.5000  0.5000  0.0000

Calculated values
Excess energy over the best structure of this formula in the dataset (eV per formula unit): 0.00
Formation energy (no corrections) (meV per atom): 573
Space-group type: No. 122
Crystal system: tetragonal

(14)
Entry from Alexandria via LeMat-Bulk: Nd2SiTe after structural relaxation (PBE-GGA).

abc: 4.3617 4.3617 7.7576
angles: 73.67 73.67 60.00
Fractional coordinates of all 4 atoms:
Te  0.5000  0.5000  0.5000
Nd  0.2589  0.2589  0.2234
Nd  0.7411  0.7411  0.7766
Si  0.0000  0.0000  0.0000

Calculated values
Excess energy over the best structure of this formula in the dataset (eV per formula unit): 0.00
Formation energy (no corrections) (meV per atom): -1111
Space-group type: No. 166
Crystal system: trigonal

(15)
Entry from Alexandria via LeMat-Bulk: MgAl3Ga3 after structural relaxation (PBE-GGA).

abc: 2.9891 11.5449 11.5442
angles: 120.01 90.00 90.00
Fractional coordinates of all 14 atoms:
Mg  0.7500  0.3333  0.6666
Mg  0.2500  0.6667  0.3334
Al  0.7500  0.9095  0.3566
Al  0.2500  0.3566  0.4471
Al  0.7500  0.6434  0.5529
Al  0.7500  0.4471  0.0905
Al  0.2500  0.0905  0.6434
Al  0.2500  0.5529  0.9095
Ga  0.2500  0.2993  0.8757
Ga  0.2500  0.1243  0.4236
Ga  0.7500  0.4236  0.2993
Ga  0.2500  0.5764  0.7007
Ga  0.7500  0.7007  0.1243
Ga  0.7500  0.8757  0.5764

Calculated values
Excess energy over the best structure of this formula in the dataset (eV per formula unit): 0.44
Space-group type: No. 176
Formation energy from the elements (eV per atom): 0.11
Crystal system: hexagonal

(16)
Entry from Alexandria via LeMat-Bulk: FeSiAu after structural relaxation (PBE-GGA).

abc: 3.9591 3.9591 3.1748
angles: 90.00 90.00 120.00
Fractional coordinates of all 3 atoms:
Si  0.3333  0.6667  0.4909
Fe  0.6667  0.3333  0.5057
Au  0.0000  0.0000  0.0034

Calculated values
Excess energy over the best structure of this formula in the dataset (eV per formula unit): 0.18
Formation energy (no corrections) (meV per atom): 118
Space-group type: No. 156
Crystal system: trigonal

| no. | E_tot (eV/cell) |
| --- | --- |
| 1 | -69.25 |
| 2 | -25.80 |
| 3 | -38.83 |
| 4 | -39.32 |
| 5 | -42.95 |
| 6 | -21.95 |
| 7 | -18.88 |
| 8 | -8.05 |
| 9 | -34.93 |
| 10 | -14.60 |
| 11 | -41.84 |
| 12 | -25.49 |
| 13 | -22.30 |
| 14 | -22.55 |
| 15 | -42.22 |
| 16 | -16.81 |